1.
# Tb3Pr4Ga4, optimized geometry, DFT PBE
data_Tb3Pr4Ga4
_cell_length_a 3.583
_cell_length_b 9.154
_cell_length_c 18.592
_cell_angle_alpha 90.00
_cell_angle_beta 90.00
_cell_angle_gamma 90.00
_space_group_name_H-M_alt 'I m m m'
_space_group_IT_number 71
_space_group_name_Hall '-I 2 2'
loop_
_atom_site_label
_atom_site_fract_x
_atom_site_fract_y
_atom_site_fract_z
Tb1 0.000 0.000 0.000
Tb2 0.000 0.500 0.093
Pr1 0.000 0.324 0.334
Ga1 0.000 0.000 0.279
Ga2 0.000 0.223 0.500
# DFT formation energy: -39.2 kJ per mole of atoms
# size of the total moment: 0.00 μB per atom
# calculated density: 7.2 g cm⁻³

---

2.
# Cs2NaBrF6, optimized geometry, DFT PBE
data_Cs2NaBrF6
_cell_length_a 6.711
_cell_length_b 6.711
_cell_length_c 8.682
_cell_angle_alpha 90.00
_cell_angle_beta 90.00
_cell_angle_gamma 90.00
_space_group_name_H-M_alt 'I 4/m m m'
_space_group_IT_number 139
_space_group_name_Hall '-I 4 2'
loop_
_atom_site_label
_atom_site_fract_x
_atom_site_fract_y
_atom_site_fract_z
Cs1 0.000 0.500 0.250
Na1 0.000 0.000 0.000
Br1 0.000 0.000 0.500
F1 0.000 0.000 0.279
F2 0.243 0.243 0.000
# energy relative to the lowest polymorph listed for this composition: 109 kJ/mol of formula units
# size of the total moment: 0.20 μB per atom
# calculated density: 4.1 g cm⁻³
# energy relative to the elements, uncorrected: -1.94 eV per atom